Record 1
{"formula": "ErAgPbS3", "functional": "PBE", "state": "relaxed", "magnetic_moment_mub_per_cell": 0.00, "dft_energy_ev_per_cell": -59.24, "lattice_angstrom": [[4.009, 0.000, 0.000], [0.000, 8.181, 0.050], [0.000, -2.110, 8.600]], "species": ["Pb", "Pb", "Er", "Er", "S", "S", "S", "S", "S", "S", "Ag", "Ag"], "frac_coords": [[0.750, 0.801, 0.764], [0.250, 0.199, 0.236], [0.250, 0.673, 0.165], [0.750, 0.327, 0.835], [0.750, 0.439, 0.152], [0.250, 0.741, 0.484], [0.750, 0.259, 0.516], [0.250, 0.111, 0.877], [0.750, 0.889, 0.123], [0.250, 0.561, 0.848], [0.250, 0.096, 0.588], [0.750, 0.904, 0.412]]}



Record 2
{"formula": "Li2In7", "functional": "PBE", "state": "relaxed", "n_ef_per_ev_fu": 3.30, "formation_enthalpy_0k_ev_per_atom": -0.08, "magnetic_moment_mub_per_cell": 0.00, "lattice_angstrom": [[-1.676, 2.038, 4.959], [-3.443, -3.270, -3.001], [2.984, -6.531, 3.693]], "species": ["In", "In", "In", "In", "In", "In", "In", "Li", "Li"], "frac_coords": [[0.000, 0.000, 0.000], [0.333, 0.000, 0.679], [0.667, 0.667, 0.679], [0.333, 0.333, 0.321], [0.667, 0.000, 0.321], [0.000, 0.667, 0.321], [0.000, 0.333, 0.679], [0.333, 0.667, 0.000], [0.667, 0.333, 0.000]]}



Record 3
{"formula": "As4Ir5", "functional": "PBE", "state": "relaxed", "n_ef_per_ev_fu": 6.16, "formation_enthalpy_0k_ev_per_atom": 0.15, "relative_energy_mev_per_atom": 0, "magnetic_moment_mub_per_cell": 0.00, "lattice_angstrom": [[-0.357, -5.496, 3.474], [-3.265, 4.326, -3.610], [3.074, -2.731, -5.049]], "species": ["As", "As", "As", "As", "Ir", "Ir", "Ir", "Ir", "Ir"], "frac_coords": [[0.000, 0.293, 0.293], [0.293, 0.000, 0.293], [0.707, 0.000, 0.707], [0.000, 0.707, 0.707], [0.000, 0.000, 0.000], [0.665, 0.335, 0.000], [0.335, 0.665, 0.000], [0.665, 0.665, 0.330], [0.335, 0.335, 0.670]]}



Record 4
{"formula": "AlCuRe", "functional": "PBE", "state": "relaxed", "n_ef_per_ev_fu": 1.35, "formation_enthalpy_0k_ev_per_atom": -0.06, "relative_energy_mev_per_atom": 57, "magnetic_moment_mub_per_cell": 0.00, "lattice_angstrom": [[-1.926, 1.683, 1.106], [-0.630, -2.654, -0.569], [11.209, -10.168, 34.988]], "species": ["Cu", "Cu", "Cu", "Cu", "Cu", "Cu", "Al", "Al", "Al", "Al", "Al", "Al", "Re", "Re", "Re", "Re", "Re", "Re"], "frac_coords": [[0.000, 0.000, 0.824], [0.000, 0.000, 0.383], [0.333, 0.667, 0.490], [0.667, 0.333, 0.716], [0.333, 0.667, 0.049], [0.667, 0.333, 0.157], [0.667, 0.333, 0.436], [0.333, 0.667, 0.769], [0.667, 0.333, 0.877], [0.000, 0.000, 0.544], [0.333, 0.667, 0.210], [0.000, 0.000, 0.103], [0.667, 0.333, 0.990], [0.333, 0.667, 0.602], [0.000, 0.000, 0.657], [0.333, 0.667, 0.324], [0.000, 0.000, 0.935], [0.667, 0.333, 0.268]]}



Record 5
{"formula": "HfSc2In", "functional": "PBE", "state": "relaxed", "n_ef_per_ev_fu": 5.94, "formation_enthalpy_0k_ev_per_atom": -0.18, "magnetic_moment_mub_per_cell": 0.00, "lattice_angstrom": [[-3.691, -0.731, -2.372], [2.222, -2.946, -2.549], [-1.152, -3.300, 2.809]], "species": ["Hf", "Sc", "Sc", "In"], "frac_coords": [[0.500, 0.500, 0.500], [0.000, 0.000, 0.500], [0.000, 0.500, 0.000], [0.500, 0.000, 0.000]]}



Record 6
{"formula": "PmLuSe", "functional": "PBE", "state": "relaxed", "n_ef_per_ev_fu": 1.93, "magnetic_moment_mub_per_cell": 0.05, "dft_energy_ev_per_cell": -15.96, "lattice_angstrom": [[-2.054, -6.272, 0.297], [3.320, -1.008, 1.681], [-3.003, 1.086, 2.161]], "species": ["Lu", "Se", "Pm"], "frac_coords": [[0.275, 0.333, 0.667], [0.010, 0.000, 0.000], [0.715, 0.667, 0.333]]}



Record 7
{"formula": "PmAl12Zn4", "functional": "PBE", "state": "relaxed", "n_ef_per_ev_fu": 8.28, "formation_enthalpy_0k_ev_per_atom": 0.16, "magnetic_moment_mub_per_cell": 0.00, "lattice_angstrom": [[-3.481, 6.289, -2.490], [-3.762, -2.774, 6.002], [7.132, 1.687, 2.037]], "species": ["Al", "Al", "Al", "Al", "Al", "Al", "Al", "Al", "Al", "Al", "Al", "Al", "Zn", "Zn", "Zn", "Zn", "Pm"], "frac_coords": [[0.194, 0.844, 0.350], [0.156, 0.650, 0.806], [0.350, 0.506, 0.156], [0.350, 0.194, 0.844], [0.650, 0.806, 0.156], [0.494, 0.844, 0.650], [0.806, 0.156, 0.650], [0.844, 0.650, 0.494], [0.156, 0.350, 0.506], [0.844, 0.350, 0.194], [0.506, 0.156, 0.350], [0.650, 0.494, 0.844], [0.000, 0.000, 0.500], [0.500, 0.000, 0.000], [0.500, 0.500, 0.500], [0.000, 0.500, 0.000], [0.000, 0.000, 0.000]]}



Record 8
{"formula": "Y2Si2Mo", "functional": "PBE", "state": "relaxed", "n_ef_per_ev_fu": 2.01, "relative_energy_mev_per_atom": 0, "magnetic_moment_mub_per_cell": 0.00, "lattice_angstrom": [[-5.890, -0.035, -3.643], [-0.970, -6.660, 1.633], [-2.118, 1.145, 3.413]], "species": ["Y", "Y", "Y", "Y", "Si", "Si", "Si", "Si", "Mo", "Mo"], "frac_coords": [[0.179, 0.679, 0.500], [0.679, 0.821, 0.500], [0.321, 0.179, 0.500], [0.821, 0.321, 0.500], [0.127, 0.373, 0.000], [0.627, 0.127, 0.000], [0.873, 0.627, 0.000], [0.373, 0.873, 0.000], [0.500, 0.500, 0.000], [0.000, 0.000, 0.000]]}